## Al2TlAs (PBE)

Data for a relaxed structure of Al2TlAs.

```
4
Lattice="4.046 0.000 0.000 0.000 4.103 0.000 0.000 0.000 5.183" Properties=species:S:1:pos:R:3 pbc="T T T"
Al 0.000 0.000 0.000
Al 2.023 0.000 2.592
Tl 0.000 2.052 2.592
As 2.023 2.052 0.000
```

Values from the calculation:
* offset from the most stable computed form: 265 meV per atom
* DOS at the Fermi energy: 1.6 states/eV per cell
* total magnetization: 0.000 μB/atom
* formation energy from the elements: 274.5 meV per atom

---

## Al2TlAs (PBE)

Data for a relaxed structure of Al2TlAs.

```
4
Lattice="3.510 0.000 0.000 0.000 3.508 0.000 -0.015 0.000 7.509" Properties=species:S:1:pos:R:3 pbc="T T T"
Al 0.000 0.000 0.000
Al 1.738 1.754 5.926
Tl 3.493 0.000 3.923
As 1.755 1.754 0.980
```

Values from the calculation:
* offset from the most stable computed form: 48 meV per atom
* DOS at the Fermi energy: 1.1 states/eV per cell
* total magnetization: 0.000 μB/atom
* formation energy from the elements: 57.5 meV per atom